Density functional theory data (PBE) for a geometry-optimized Pm3Nd4Cd4 structure.

```
Pm3Nd4Cd4
1.0
-0.447 -3.787 -3.838
7.021 -0.281 -0.541
-3.058 -4.375 8.487
Nd Pm Cd
4 3 4
direct
0.319 0.082 0.638 Nd
0.681 0.444 0.362 Nd
0.681 0.918 0.362 Nd
0.319 0.556 0.638 Nd
0.098 0.098 0.197 Pm
0.000 0.500 0.000 Pm
0.902 0.902 0.803 Pm
0.500 0.792 0.000 Cd
0.829 0.329 0.658 Cd
0.171 0.671 0.342 Cd
0.500 0.208 0.000 Cd
```

ΔH_f (0 K), meV/atom: -93.0